Entry 1:
A geometry-optimized KZrTi3 structure, computed with PBE-GGA.

```
data_KZrTi3
_chemical_formula_sum 'K1 Zr1 Ti3'
_symmetry_space_group_name_H-M 'P 1'
_symmetry_Int_Tables_number 1
_cell_length_a 5.127
_cell_length_b 5.127
_cell_length_c 5.127
_cell_angle_alpha 90.00
_cell_angle_beta 90.00
_cell_angle_gamma 90.00
loop_
_symmetry_equiv_pos_as_xyz
'x,y,z'
loop_
_atom_site_label
_atom_site_fract_x
_atom_site_fract_y
_atom_site_fract_z
K1 0.000 0.000 0.000
Zr1 0.500 0.500 0.500
Ti1 0.000 0.500 0.500
Ti2 0.500 0.000 0.500
Ti3 0.500 0.500 0.000
```

## Properties
**Calculated volume**: 26.947 Å³/atom
**Final energy**: -27.1 eV per cell
**E_form**: 1249 meV/atom
**Excess energy over the best structure of this formula in the dataset**: 0.000 eV per atom



Entry 2:
A geometry-optimized K3ZrTi structure, computed with PBE-GGA.

```
data_K3ZrTi
_chemical_formula_sum 'K3 Zr1 Ti1'
_symmetry_space_group_name_H-M 'P 1'
_symmetry_Int_Tables_number 1
_cell_length_a 6.414
_cell_length_b 6.414
_cell_length_c 6.414
_cell_angle_alpha 90.00
_cell_angle_beta 90.00
_cell_angle_gamma 90.00
loop_
_symmetry_equiv_pos_as_xyz
'x,y,z'
loop_
_atom_site_label
_atom_site_fract_x
_atom_site_fract_y
_atom_site_fract_z
K1 0.000 0.000 0.500
K2 0.000 0.500 0.000
K3 0.500 0.000 0.000
Zr1 0.500 0.500 0.500
Ti1 0.000 0.000 0.000
```

## Properties
**Calculated volume**: 52.782 Å³/atom
**Final energy**: -10.7 eV per cell
**E_form**: 1802 meV/atom
**Excess energy over the best structure of this formula in the dataset**: 0.034 eV per atom



Entry 3:
A geometry-optimized KZr3Ti structure, computed with PBE-GGA.

```
data_KZr3Ti
_chemical_formula_sum 'K1 Zr3 Ti1'
_symmetry_space_group_name_H-M 'P 1'
_symmetry_Int_Tables_number 1
_cell_length_a 4.886
_cell_length_b 4.886
_cell_length_c 4.886
_cell_angle_alpha 90.00
_cell_angle_beta 90.00
_cell_angle_gamma 90.00
loop_
_symmetry_equiv_pos_as_xyz
'x,y,z'
loop_
_atom_site_label
_atom_site_fract_x
_atom_site_fract_y
_atom_site_fract_z
K1 0.000 0.000 0.000
Zr1 0.000 0.000 0.500
Zr2 0.000 0.500 0.000
Zr3 0.500 0.000 0.000
Ti1 0.500 0.500 0.500
```

## Properties
**Calculated volume**: 23.324 Å³/atom
**Final energy**: -24.9 eV per cell
**E_form**: 1951 meV/atom
**Excess energy over the best structure of this formula in the dataset**: 0.968 eV per atom



Entry 4:
A geometry-optimized K2ZrTi structure, computed with PBE-GGA.

```
data_K2ZrTi
_chemical_formula_sum 'K8 Zr4 Ti4'
_symmetry_space_group_name_H-M 'P 1'
_symmetry_Int_Tables_number 1
_cell_length_a 8.004
_cell_length_b 8.004
_cell_length_c 8.004
_cell_angle_alpha 90.00
_cell_angle_beta 90.00
_cell_angle_gamma 90.00
loop_
_symmetry_equiv_pos_as_xyz
'x,y,z'
loop_
_atom_site_label
_atom_site_fract_x
_atom_site_fract_y
_atom_site_fract_z
K1 0.250 0.250 0.250
K2 0.250 0.250 0.750
K3 0.250 0.750 0.250
K4 0.250 0.750 0.750
K5 0.750 0.250 0.250
K6 0.750 0.250 0.750
K7 0.750 0.750 0.250
K8 0.750 0.750 0.750
Zr1 0.000 0.000 0.000
Zr2 0.000 0.500 0.500
Zr3 0.500 0.000 0.500
Zr4 0.500 0.500 0.000
Ti1 0.000 0.000 0.500
Ti2 0.000 0.500 0.000
Ti3 0.500 0.000 0.000
Ti4 0.500 0.500 0.500
```

## Properties
**Calculated volume**: 32.045 Å³/atom
**Final energy**: -47.6 eV per cell
**E_form**: 1683 meV/atom
**Excess energy over the best structure of this formula in the dataset**: 0.330 eV per atom



Entry 5:
A geometry-optimized KZr3Ti structure, computed with PBE-GGA.

```
data_KZr3Ti
_chemical_formula_sum 'K1 Zr3 Ti1'
_symmetry_space_group_name_H-M 'P 1'
_symmetry_Int_Tables_number 1
_cell_length_a 5.210
_cell_length_b 5.210
_cell_length_c 5.210
_cell_angle_alpha 90.00
_cell_angle_beta 90.00
_cell_angle_gamma 90.00
loop_
_symmetry_equiv_pos_as_xyz
'x,y,z'
loop_
_atom_site_label
_atom_site_fract_x
_atom_site_fract_y
_atom_site_fract_z
K1 0.000 0.000 0.000
Zr1 0.000 0.500 0.500
Zr2 0.500 0.000 0.500
Zr3 0.500 0.500 0.000
Ti1 0.500 0.500 0.500
```

## Properties
**Calculated volume**: 28.285 Å³/atom
**Final energy**: -29.7 eV per cell
**E_form**: 984 meV/atom
**Excess energy over the best structure of this formula in the dataset**: 0.000 eV per atom



Entry 6:
A geometry-optimized KTl structure, computed with PBE-GGA.

```
data_KTl
_chemical_formula_sum 'K4 Tl4'
_symmetry_space_group_name_H-M 'P 1'
_symmetry_Int_Tables_number 1
_cell_length_a 6.040
_cell_length_b 6.040
_cell_length_c 9.873
_cell_angle_alpha 90.00
_cell_angle_beta 90.00
_cell_angle_gamma 120.00
loop_
_symmetry_equiv_pos_as_xyz
'x,y,z'
loop_
_atom_site_label
_atom_site_fract_x
_atom_site_fract_y
_atom_site_fract_z
K1 0.000 0.000 0.250
K2 0.000 0.000 0.750
K3 0.333 0.667 0.250
K4 0.667 0.333 0.750
Tl1 0.333 0.667 0.587
Tl2 0.333 0.667 0.913
Tl3 0.667 0.333 0.087
Tl4 0.667 0.333 0.413
```

## Properties
**Calculated volume**: 38.988 Å³/atom
**Final energy**: -13.6 eV per cell
**E_form**: 29 meV/atom